{
  "formula": "Ho3RuN",
  "functional": "GGA-PBE",
  "state": "relaxed",
  "e_tot_ev_per_cell": -34.8,
  "lattice": [[4.668, 0.000, 0.000], [0.000, 4.668, 0.000], [0.000, 0.000, 4.668]],
  "species": ["Ho", "Ho", "Ho", "Ru", "N"],
  "frac_coords": [[0.000, 0.000, 0.500], [0.000, 0.500, 0.000], [0.500, 0.000, 0.000], [0.500, 0.500, 0.500], [0.000, 0.000, 0.000]]
}

{
  "formula": "Sm2HoRuN4",
  "functional": "GGA-PBE",
  "state": "relaxed",
  "e_tot_ev_per_cell": -127.5,
  "lattice": [[1.710, -5.870, 0.000], [1.710, 5.870, 0.000], [0.000, 0.000, 11.936]],
  "species": ["Sm", "Sm", "Sm", "Sm", "Ho", "Ho", "Ru", "Ru", "N", "N", "N", "N", "N", "N", "N", "N"],
  "frac_coords": [[0.132, 0.868, 0.543], [0.132, 0.868, 0.957], [0.868, 0.132, 0.043], [0.868, 0.132, 0.457], [0.370, 0.630, 0.750], [0.630, 0.370, 0.250], [0.362, 0.638, 0.250], [0.638, 0.362, 0.750], [0.054, 0.946, 0.750], [0.228, 0.772, 0.136], [0.228, 0.772, 0.364], [0.500, 0.500, 0.000], [0.500, 0.500, 0.500], [0.772, 0.228, 0.636], [0.772, 0.228, 0.864], [0.946, 0.054, 0.250]]
}

{
  "formula": "Tb2HoRuN4",
  "functional": "GGA-PBE",
  "state": "relaxed",
  "e_tot_ev_per_cell": -128.8,
  "lattice": [[1.692, -5.789, 0.000], [1.692, 5.789, 0.000], [0.000, 0.000, 11.692]],
  "species": ["Tb", "Tb", "Tb", "Tb", "Ho", "Ho", "Ru", "Ru", "N", "N", "N", "N", "N", "N", "N", "N"],
  "frac_coords": [[0.131, 0.869, 0.542], [0.131, 0.869, 0.958], [0.869, 0.131, 0.042], [0.869, 0.131, 0.458], [0.369, 0.631, 0.750], [0.631, 0.369, 0.250], [0.365, 0.635, 0.250], [0.635, 0.365, 0.750], [0.049, 0.951, 0.750], [0.231, 0.769, 0.133], [0.231, 0.769, 0.367], [0.500, 0.500, 0.000], [0.500, 0.500, 0.500], [0.769, 0.231, 0.633], [0.769, 0.231, 0.867], [0.951, 0.049, 0.250]]
}

{
  "formula": "Ho2ThRuN4",
  "functional": "GGA-PBE",
  "state": "relaxed",
  "e_tot_ev_per_cell": -136.4,
  "lattice": [[1.711, -5.855, 0.000], [1.711, 5.855, 0.000], [0.000, 0.000, 11.475]],
  "species": ["Ho", "Ho", "Ho", "Ho", "Th", "Th", "Ru", "Ru", "N", "N", "N", "N", "N", "N", "N", "N"],
  "frac_coords": [[0.130, 0.870, 0.548], [0.130, 0.870, 0.952], [0.870, 0.130, 0.048], [0.870, 0.130, 0.452], [0.386, 0.614, 0.750], [0.614, 0.386, 0.250], [0.356, 0.644, 0.250], [0.644, 0.356, 0.750], [0.044, 0.956, 0.750], [0.227, 0.773, 0.129], [0.227, 0.773, 0.371], [0.500, 0.500, 0.000], [0.500, 0.500, 0.500], [0.773, 0.227, 0.629], [0.773, 0.227, 0.871], [0.956, 0.044, 0.250]]
}

{
  "formula": "HoTh2RuN4",
  "functional": "GGA-PBE",
  "state": "relaxed",
  "e_tot_ev_per_cell": -140.9,
  "lattice": [[1.720, -5.998, 0.000], [1.720, 5.998, 0.000], [0.000, 0.000, 11.898]],
  "species": ["Ho", "Ho", "Th", "Th", "Th", "Th", "Ru", "Ru", "N", "N", "N", "N", "N", "N", "N", "N"],
  "frac_coords": [[0.116, 0.884, 0.750], [0.884, 0.116, 0.250], [0.369, 0.631, 0.555], [0.369, 0.631, 0.945], [0.631, 0.369, 0.055], [0.631, 0.369, 0.445], [0.146, 0.854, 0.250], [0.854, 0.146, 0.750], [0.000, 0.000, 0.000], [0.000, 0.000, 0.500], [0.279, 0.721, 0.129], [0.279, 0.721, 0.371], [0.465, 0.535, 0.750], [0.535, 0.465, 0.250], [0.721, 0.279, 0.629], [0.721, 0.279, 0.871]]
}

{
  "formula": "HoTm2RuN4",
  "functional": "GGA-PBE",
  "state": "relaxed",
  "e_tot_ev_per_cell": -129.6,
  "lattice": [[1.672, -5.707, 0.000], [1.672, 5.707, 0.000], [0.000, 0.000, 11.468]],
  "species": ["Ho", "Ho", "Tm", "Tm", "Tm", "Tm", "Ru", "Ru", "N", "N", "N", "N", "N", "N", "N", "N"],
  "frac_coords": [[0.131, 0.869, 0.750], [0.869, 0.131, 0.250], [0.369, 0.631, 0.542], [0.369, 0.631, 0.958], [0.631, 0.369, 0.042], [0.631, 0.369, 0.458], [0.132, 0.868, 0.250], [0.868, 0.132, 0.750], [0.000, 0.000, 0.000], [0.000, 0.000, 0.500], [0.267, 0.733, 0.129], [0.267, 0.733, 0.371], [0.456, 0.544, 0.750], [0.544, 0.456, 0.250], [0.733, 0.267, 0.629], [0.733, 0.267, 0.871]]
}

{
  "formula": "YHo2RuN4",
  "functional": "GGA-PBE",
  "state": "relaxed",
  "e_tot_ev_per_cell": -133.0,
  "lattice": [[1.688, -5.762, 0.000], [1.688, 5.762, 0.000], [0.000, 0.000, 11.582]],
  "species": ["Y", "Y", "Ho", "Ho", "Ho", "Ho", "Ru", "Ru", "N", "N", "N", "N", "N", "N", "N", "N"],
  "frac_coords": [[0.130, 0.870, 0.750], [0.870, 0.130, 0.250], [0.369, 0.631, 0.542], [0.369, 0.631, 0.958], [0.631, 0.369, 0.042], [0.631, 0.369, 0.458], [0.135, 0.865, 0.250], [0.865, 0.135, 0.750], [0.000, 0.000, 0.000], [0.000, 0.000, 0.500], [0.268, 0.732, 0.130], [0.268, 0.732, 0.370], [0.452, 0.548, 0.750], [0.548, 0.452, 0.250], [0.732, 0.268, 0.630], [0.732, 0.268, 0.870]]
}

{
  "formula": "Ho3SN2",
  "functional": "GGA-PBE",
  "state": "relaxed",
  "e_tot_ev_per_cell": -44.6,
  "lattice": [[-1.819, 1.819, 7.568], [1.819, -1.819, 7.568], [1.819, 1.819, -7.568]],
  "species": ["Ho", "Ho", "Ho", "S", "N", "N"],
  "frac_coords": [[0.000, 0.000, 0.000], [0.323, 0.323, 0.000], [0.677, 0.677, 0.000], [0.500, 0.500, 0.000], [0.169, 0.169, 0.000], [0.831, 0.831, 0.000]]
}